{"formula": "Li3MgAg2", "functional": "PBE", "state": "optimized geometry", "ef_ev_per_atom": -0.094, "cell": [[-1.5462, 1.5240, -2.1923], [-2.3130, -2.0067, 0.2364], [-3.2076, 7.1555, 9.4077]], "species": ["Li", "Li", "Li", "Mg", "Ag", "Ag"], "fractional_positions": [[0.6972, 0.6972, 0.3945], [0.5558, 0.5558, 0.1115], [0.3005, 0.8005, 0.6010], [0.4483, 0.9483, 0.8966], [0.1273, 0.1273, 0.2546], [0.8709, 0.3709, 0.7419]]}